Below is a relaxed FeSbO2F crystal, with properties calculated at the GGA+U level.

a b c (Å): 4.216 4.216 4.391
angles (deg): 90.00 90.00 90.00
Last column: magnetic moment on the atom in μB.
Fractional positions:
Sb1 0.000 0.000 0.000  0.00
Fe1 0.500 0.500 0.500  4.01
O1 0.000 0.500 0.000  0.04
O2 0.500 0.000 0.000  0.04
F1 0.000 0.000 0.500  0.02

Results
Total DFT energy (no corrections): -5.0857 eV per atom